Entry 1
A relaxed structure of SrSn2I6, computed with PBE-GGA.

a b c (Å): 8.0934 8.0934 23.0517
angles (deg): 90.00 90.00 120.00
Space group R3 (No. 146, hexagonal axes)
Symmetry-distinct sites (fractional):
Sr 0.0000 0.0000 0.0000
Sn 0.0000 0.0000 0.1787
Sn 0.0000 0.0000 0.3574
I 0.0156 0.6435 0.9363
I 0.0231 0.3538 0.7615

Output
**Total moment**: 0.0000 μB/atom
**Mass density**: 4.1 g/cm³
**N(E_F)**: 0.000 states/eV per cell


Entry 2
A relaxed structure of SrSn2I6, computed with PBE-GGA.

a b c (Å): 20.5906 4.6508 9.3520
angles (deg): 90.00 103.90 90.00
Space group C2/m (No. 12)
Symmetry-distinct sites (fractional):
Sr 0.0000 0.0000 0.0000
Sn 0.1685 0.5000 0.3377
I 0.0071 0.5000 0.2525
I 0.1658 0.0000 0.0966
I 0.1706 0.0000 0.5787

Output
**Total moment**: 0.0000 μB/atom
**Mass density**: 4.2 g/cm³
**N(E_F)**: 0.000 states/eV per cell


Which structure is the least stable? The one labeled entry 1.


Entry 1
A relaxed structure of SrSnTeI2, computed with PBE-GGA.

a b c (Å): 6.0961 6.0961 6.4923
angles (deg): 90.00 90.00 90.00
Space group P4/mmm (No. 123)
Symmetry-distinct sites (fractional):
Sr 0.0000 0.0000 0.0000
Sn 0.5000 0.5000 0.5000
Te 0.0000 0.0000 0.5000
I 0.0000 0.5000 0.0000

Output
**Total moment**: 0.0000 μB/atom
**Mass density**: 4.0 g/cm³
**N(E_F)**: 0.811 states/eV per cell


Entry 2
A relaxed structure of SrSnTeI2, computed with PBE-GGA.

a b c (Å): 5.9499 5.9499 6.1166
angles (deg): 90.00 90.00 90.00
Space group P4/mmm (No. 123)
Symmetry-distinct sites (fractional):
Sr 0.0000 0.0000 0.0000
Sn 0.5000 0.5000 0.5000
Te 0.5000 0.5000 0.0000
I 0.0000 0.5000 0.5000

Output
**Total moment**: 0.0000 μB/atom
**Mass density**: 4.5 g/cm³
**N(E_F)**: 0.536 states/eV per cell


Which structure is the least stable? The one labeled entry 1.


Entry 1
A relaxed structure of TaSn3I, computed with PBE-GGA.

a b c (Å): 5.6301 5.6301 5.6301
angles (deg): 90.00 90.00 90.00
Space group Pm-3m (No. 221)
Symmetry-distinct sites (fractional):
Ta 0.0000 0.0000 0.0000
Sn 0.0000 0.5000 0.5000
I 0.5000 0.5000 0.5000

Output
**Total moment**: 0.0000 μB/atom
**Mass density**: 6.2 g/cm³
**N(E_F)**: 3.812 states/eV per cell


Entry 2
A relaxed structure of TaSn3I, computed with PBE-GGA.

a b c (Å): 5.4822 5.4822 5.4822
angles (deg): 90.00 90.00 90.00
Space group Pm-3m (No. 221)
Symmetry-distinct sites (fractional):
Ta 0.0000 0.0000 0.0000
Sn 0.0000 0.0000 0.5000
I 0.5000 0.5000 0.5000

Output
**Total moment**: 0.0847 μB/atom
**Mass density**: 6.7 g/cm³
**N(E_F)**: 8.801 states/eV per cell


Which structure is the least stable? The one labeled entry 1.


Entry 1
A relaxed structure of Ta2Sn2I, computed with PBE-GGA.

a b c (Å): 8.2412 8.2412 3.4138
angles (deg): 90.00 90.00 90.00
Space group P4/mbm (No. 127)
Symmetry-distinct sites (fractional):
Ta 0.1164 0.3836 0.0000
Sn 0.1701 0.6701 0.5000
I 0.0000 0.0000 0.0000

Output
**Total moment**: 0.0000 μB/atom
**Mass density**: 10.4 g/cm³
**N(E_F)**: 8.338 states/eV per cell


Entry 2
A relaxed structure of Ta2Sn2I, computed with PBE-GGA.

a b c (Å): 4.1805 4.1805 13.7371
angles (deg): 90.00 90.00 90.00
Space group I4/mmm (No. 139)
Symmetry-distinct sites (fractional):
Ta 0.0000 0.0000 0.1011
Sn 0.0000 0.5000 0.2500
I 0.0000 0.0000 0.5000

Output
**Total moment**: 0.2325 μB/atom
**Mass density**: 10.0 g/cm³
**N(E_F)**: 12.187 states/eV per cell


Which structure is the least stable? The one labeled entry 2.